Entry 1:
PrScCl PBE-GGA relaxed; formation energy (no corrections) = -2.4 eV/f.u.; DOS at the Fermi energy = 6.42 states/eV per cell
1.0
-0.396 -1.585 -3.147
4.942 -3.917 -2.650
-9.301 4.360 16.956
Sc Pr Cl
2 2 2
Direct
0.576 0.648 0.772
0.424 0.352 0.228
0.924 0.080 0.390
0.076 0.920 0.610
0.869 0.680 0.955
0.131 0.320 0.045


Entry 2:
Pr3ScCl PBE-GGA relaxed; formation energy (no corrections) = -2.1 eV/f.u.; DOS at the Fermi energy = 5.25 states/eV per cell
1.0
5.456 0.000 0.000
0.000 5.456 0.000
0.000 0.000 5.456
Pr Sc Cl
3 1 1
Direct
0.000 0.500 0.000
0.000 0.000 0.500
0.500 0.000 0.000
0.500 0.500 0.500
0.000 0.000 0.000


Entry 3:
PrScTe2Cl PBE-GGA relaxed; formation energy (no corrections) = -7.6 eV/f.u.; DOS at the Fermi energy = 3.88 states/eV per cell
1.0
4.307 0.000 0.000
0.000 4.307 0.000
0.000 0.000 14.770
Pr Sc Te Cl
2 2 4 2
Direct
0.500 0.000 0.638
0.000 0.500 0.362
0.500 0.000 0.082
0.000 0.500 0.918
0.000 0.500 0.715
0.000 0.500 0.114
0.500 0.000 0.886
0.500 0.000 0.285
0.000 0.000 0.500
0.500 0.500 0.500